MnHIO: relaxed, GGA+U.

Total moment, μB per formula unit: 5.0
Energy, eV/atom: -5.306

Cell and atoms, written as CIF:
```
data_MnHIO
_symmetry_space_group_name_H-M 'C 1 m 1'
_symmetry_Int_Tables_number 8
_symmetry_space_group_name_Hall 'C -2y'
_cell_length_a 6.585
_cell_length_b 3.803
_cell_length_c 6.116
_cell_angle_alpha 90.00
_cell_angle_beta 110.91
_cell_angle_gamma 90.00
loop_
_atom_site_label
_atom_site_type_symbol
_atom_site_fract_x
_atom_site_fract_y
_atom_site_fract_z
Mn1 Mn 0.000 0.000 0.000
H1 H 0.236 0.000 0.707
I1 I 0.283 0.500 0.351
O1 O 0.293 0.000 0.879
```